A geometry-optimized Ag2PtCl8 structure. Source: Alexandria, functional PBE.

Values from the calculation:
- Size of the total moment: 0.000 μB/atom
- Energy relative to the elements, uncorrected: -259 meV per atom
- Space group: C2/m (12)
- Calculated total energy: -2.670 eV/atom

a = 6.368 Å, b = 7.401 Å, c = 8.091 Å
α = 99.34°, β = 90.00°, γ = 115.48°
Atoms (fractional coordinates):
Cl (0.970, 0.940, 0.278)
Cl (0.124, 0.748, 0.915)
Cl (0.876, 0.252, 0.085)
Cl (0.376, 0.252, 0.085)
Cl (0.624, 0.748, 0.915)
Cl (0.328, 0.656, 0.503)
Cl (0.030, 0.060, 0.722)
Cl (0.672, 0.344, 0.497)
Pt (0.000, 0.000, 0.000)
Ag (0.844, 0.687, 0.622)
Ag (0.156, 0.313, 0.378)

A geometry-optimized Ag4PtCl structure. Source: Alexandria, functional PBE.

Values from the calculation:
- Size of the total moment: 0.000 μB/atom
- Energy relative to the elements, uncorrected: 397 meV per atom
- Space group: F-43m (216)
- Calculated total energy: -2.818 eV/atom

a = 5.478 Å, b = 5.478 Å, c = 5.478 Å
α = 60.00°, β = 60.00°, γ = 60.00°
Atoms (fractional coordinates):
Pt (0.000, 0.000, 0.000)
Ag (0.877, 0.374, 0.374)
Ag (0.374, 0.374, 0.877)
Ag (0.374, 0.877, 0.374)
Ag (0.374, 0.374, 0.374)
Cl (0.750, 0.750, 0.750)

A geometry-optimized AgPt2Cl structure. Source: Alexandria, functional PBE.

Values from the calculation:
- Size of the total moment: 0.000 μB/atom
- Energy relative to the elements, uncorrected: 667 meV per atom
- Space group: Fm-3m (225)
- Calculated total energy: -3.527 eV/atom

a = 4.582 Å, b = 4.582 Å, c = 4.582 Å
α = 60.00°, β = 60.00°, γ = 60.00°
Atoms (fractional coordinates):
Pt (0.250, 0.250, 0.250)
Pt (0.750, 0.750, 0.750)
Ag (0.500, 0.500, 0.500)
Cl (0.000, 0.000, 0.000)

A geometry-optimized Ag2PtCl structure. Source: Alexandria, functional PBE.

Values from the calculation:
- Size of the total moment: 0.000 μB/atom
- Energy relative to the elements, uncorrected: 201 meV per atom
- Space group: C2/m (12)
- Calculated total energy: -3.196 eV/atom

a = 5.055 Å, b = 5.055 Å, c = 3.018 Å
α = 89.89°, β = 89.89°, γ = 112.11°
Atoms (fractional coordinates):
Cl (0.500, 0.000, 0.500)
Pt (0.000, 0.500, 0.500)
Ag (0.000, 0.000, 0.000)
Ag (0.500, 0.500, 0.000)

A geometry-optimized Ag2PtCl structure. Source: Alexandria, functional PBE.

Values from the calculation:
- Size of the total moment: 0.000 μB/atom
- Energy relative to the elements, uncorrected: 114 meV per atom
- Space group: Pm (6)
- Calculated total energy: -3.283 eV/atom

a = 3.084 Å, b = 3.815 Å, c = 6.901 Å
α = 74.00°, β = 90.00°, γ = 90.00°
Atoms (fractional coordinates):
Pt (0.500, 0.540, 0.795)
Ag (0.500, 0.326, 0.224)
Ag (0.000, 0.943, 0.991)
Cl (0.000, 0.691, 0.489)

A geometry-optimized Ag2PtCl structure. Source: Alexandria, functional PBE.

Values from the calculation:
- Size of the total moment: 0.000 μB/atom
- Energy relative to the elements, uncorrected: 53 meV per atom
- Space group: Cmmm (65)
- Calculated total energy: -3.345 eV/atom

a = 3.084 Å, b = 3.084 Å, c = 7.576 Å
α = 90.00°, β = 90.00°, γ = 90.24°
Atoms (fractional coordinates):
Pt (0.500, 0.500, 0.750)
Ag (0.000, 0.000, 0.993)
Ag (0.000, 0.000, 0.507)
Cl (0.500, 0.500, 0.250)